Entry 1:
Here is a geometry-optimized Ac3SmPb2 structure from the Alexandria database. Energies are from PBE.

Values from the calculation:
For the density of states at the Fermi level, the calculation gives 14.92 states/eV/cell. The calculation puts the formation energy at -191 meV/atom. The space-group type is Ibam, No. 72.

Unit cell a=7.6726 b=8.5556 c=9.7298 alpha=116.08 beta=113.22 gamma=90.00
Positions (direct):
Ac: 0.2079 0.9579 0.4157
Pb: 0.8241 0.1403 0.2806
Pb: 0.4565 0.6403 0.2806
Sm: 0.0000 0.0000 0.0000
Ac: 0.5000 0.2500 0.0000
Ac: 0.2079 0.4579 0.4157
Sm: 0.0000 0.5000 0.0000
Pb: 0.5435 0.3597 0.7194
Ac: 0.7921 0.5421 0.5843
Ac: 0.7921 0.0421 0.5843
Ac: 0.5000 0.7500 0.0000
Pb: 0.1759 0.8597 0.7194

Entry 2:
Here is a geometry-optimized TaReRh2 structure from the Alexandria database. Energies are from PBE.

Values from the calculation:
For the density of states at the Fermi level, the calculation gives 4.09 states/eV/cell. The calculation puts the formation energy at -40 meV/atom. The space-group type is P4/mmm, No. 123.

Unit cell a=3.3608 b=3.3608 c=5.5021 alpha=90.00 beta=90.00 gamma=90.00
Positions (direct):
Rh: 0.0000 0.0000 0.7444
Ta: 0.5000 0.5000 0.0000
Re: 0.5000 0.5000 0.5000
Rh: 0.0000 0.0000 0.2556

Entry 3:
Here is a geometry-optimized TbNi3Ge2 structure from the Alexandria database. Energies are from PBE.

Values from the calculation:
For the density of states at the Fermi level, the calculation gives 11.72 states/eV/cell. The calculation puts the formation energy at -619 meV/atom. The space-group type is C2/m, No. 12.

Unit cell a=3.8632 b=8.0676 c=9.4547 alpha=106.86 beta=90.00 gamma=103.85
Positions (direct):
Ge: 0.5338 0.0675 0.7775
Ge: 0.8010 0.6019 0.8696
Ni: 0.3762 0.7525 0.7979
Ni: 0.9538 0.9075 0.6572
Ni: 0.3223 0.6446 0.0303
Tb: 0.1567 0.3135 0.7012
Ni: 0.5000 0.0000 0.5000
Ge: 0.3598 0.7197 0.5435
Ni: 0.7860 0.5720 0.6090
Tb: 0.8433 0.6865 0.2988
Ni: 0.2140 0.4280 0.3910
Ni: 0.6238 0.2475 0.2021
Ge: 0.4662 0.9325 0.2225
Ge: 0.1990 0.3981 0.1304
Tb: 0.0000 0.0000 0.0000
Ni: 0.0462 0.0925 0.3428
Ge: 0.6402 0.2803 0.4565
Ni: 0.6777 0.3554 0.9697

Entry 4:
Here is a geometry-optimized Ta2ZnMo structure from the Alexandria database. Energies are from PBE.

Values from the calculation:
For the density of states at the Fermi level, the calculation gives 2.94 states/eV/cell. The calculation puts the formation energy at 55 meV/atom. The space-group type is P2/m, No. 10.

Unit cell a=4.5259 b=2.7517 c=5.4869 alpha=79.88 beta=90.00 gamma=90.00
Positions (direct):
Mo: 0.5000 0.7500 0.7500
Ta: 0.0000 0.9879 0.9931
Ta: 0.0000 0.5121 0.5069
Zn: 0.5000 0.2500 0.2500

Entry 5:
Here is a geometry-optimized Tc2IrSe structure from the Alexandria database. Energies are from PBE.

Values from the calculation:
As for the electronic total energy: -31.4 eV for the cell shown. For the density of states at the Fermi level, the calculation gives 4.13 states/eV/cell. The space-group type is I-4m2, No. 119.

Unit cell a=4.7747 b=4.7747 c=4.7747 alpha=131.34 beta=131.34 gamma=71.27
Positions (direct):
Ir: 0.5000 0.5000 0.0000
Tc: 0.0000 0.0000 0.0000
Tc: 0.2500 0.7500 0.5000
Se: 0.7500 0.2500 0.5000

Entry 6:
Here is a geometry-optimized CaZn13 structure from the Alexandria database. Energies are from PBE.

Values from the calculation:
For the density of states at the Fermi level, the calculation gives 4.66 states/eV/cell. The calculation puts the formation energy at -132 meV/atom. The space-group type is Fm-3c, No. 226.

Unit cell a=8.6436 b=8.6436 c=8.6436 alpha=60.00 beta=60.00 gamma=60.00
Positions (direct):
Zn: 0.9407 0.3012 0.6988
Zn: 0.9407 0.0593 0.3012
Ca: 0.2500 0.2500 0.2500
Zn: 0.5000 0.5000 0.5000
Zn: 0.5593 0.8012 0.1988
Zn: 0.4407 0.5593 0.1988
Zn: 0.8012 0.5593 0.4407
Zn: 0.3012 0.0593 0.6988
Zn: 0.5593 0.4407 0.8012
Zn: 0.8012 0.1988 0.5593
Zn: 0.1988 0.8012 0.4407
Zn: 0.6988 0.0593 0.9407
Zn: 0.5593 0.1988 0.4407
Zn: 0.8012 0.4407 0.1988
Zn: 0.0593 0.6988 0.3012
Zn: 0.6988 0.3012 0.0593
Zn: 0.0593 0.3012 0.9407
Zn: 0.0000 0.0000 0.0000
Zn: 0.1988 0.5593 0.8012
Zn: 0.6988 0.9407 0.3012
Zn: 0.3012 0.9407 0.0593
Zn: 0.9407 0.6988 0.0593
Ca: 0.7500 0.7500 0.7500
Zn: 0.4407 0.8012 0.5593
Zn: 0.4407 0.1988 0.8012
Zn: 0.0593 0.9407 0.6988
Zn: 0.3012 0.6988 0.9407
Zn: 0.1988 0.4407 0.5593

Entry 7:
Here is a geometry-optimized MoHRh2Au structure from the Alexandria database. Energies are from PBE.

Values from the calculation:
As for the electronic total energy: -31.6 eV for the cell shown. For the density of states at the Fermi level, the calculation gives 4.17 states/eV/cell. The space-group type is P4/mmm, No. 123.

Unit cell a=4.0098 b=4.0098 c=3.9950 alpha=90.00 beta=90.00 gamma=90.00
Positions (direct):
H: 0.0000 0.0000 0.0000
Rh: 0.0000 0.5000 0.0000
Au: 0.5000 0.5000 0.5000
Rh: 0.5000 0.0000 0.0000
Mo: 0.0000 0.0000 0.5000

Entry 8:
Here is a geometry-optimized Sm4ThAu5 structure from the Alexandria database. Energies are from PBE.

Values from the calculation:
For the density of states at the Fermi level, the calculation gives 6.42 states/eV/cell. The calculation puts the formation energy at -749 meV/atom. The space-group type is P4/mmm, No. 123.

Unit cell a=3.6545 b=3.6545 c=18.6536 alpha=90.00 beta=90.00 gamma=90.00
Positions (direct):
Au: 0.5000 0.5000 0.3020
Sm: 0.0000 0.0000 0.5996
Th: 0.0000 0.0000 0.0000
Sm: 0.0000 0.0000 0.2026
Sm: 0.0000 0.0000 0.4004
Au: 0.5000 0.5000 0.5000
Au: 0.5000 0.5000 0.8949
Au: 0.5000 0.5000 0.1051
Sm: 0.0000 0.0000 0.7974
Au: 0.5000 0.5000 0.6980

Entry 9:
Here is a geometry-optimized Y2AgAs structure from the Alexandria database. Energies are from PBE.

Values from the calculation:
For the density of states at the Fermi level, the calculation gives 5.18 states/eV/cell. The calculation puts the formation energy at -711 meV/atom. The space-group type is P4/mmm, No. 123.

Unit cell a=4.1911 b=4.1911 c=5.9164 alpha=90.00 beta=90.00 gamma=90.00
Positions (direct):
Y: 0.0000 0.0000 0.8751
Ag: 0.0000 0.0000 0.3751
Y: 0.5000 0.5000 0.3750
As: 0.5000 0.5000 0.8748

Entry 10:
Here is a geometry-optimized CaSm2Rh structure from the Alexandria database. Energies are from PBE.

Values from the calculation:
For the density of states at the Fermi level, the calculation gives 15.52 states/eV/cell. The calculation puts the formation energy at -401 meV/atom. The space-group type is Pnma, No. 62.

Unit cell a=6.3909 b=7.3914 c=9.7941 alpha=90.00 beta=90.00 gamma=90.00
Positions (direct):
Sm: 0.3287 0.1739 0.4354
Sm: 0.8287 0.3261 0.9354
Ca: 0.6368 0.5362 0.2500
Sm: 0.1713 0.6739 0.4354
Sm: 0.6713 0.8261 0.5646
Sm: 0.8287 0.3261 0.5646
Ca: 0.3632 0.4638 0.7500
Sm: 0.3287 0.1739 0.0646
Rh: 0.4142 0.8923 0.2500
Rh: 0.0858 0.3923 0.2500
Sm: 0.6713 0.8261 0.9354
Ca: 0.1368 0.9638 0.7500
Rh: 0.9142 0.6077 0.7500
Ca: 0.8632 0.0362 0.2500
Rh: 0.5858 0.1077 0.7500
Sm: 0.1713 0.6739 0.0646

Entry 11:
Here is a geometry-optimized PmGePt3 structure from the Alexandria database. Energies are from PBE.

Values from the calculation:
For the density of states at the Fermi level, the calculation gives 3.28 states/eV/cell. The calculation puts the formation energy at -607 meV/atom. The space-group type is Pbam, No. 55.

Unit cell a=5.1856 b=5.7113 c=7.0034 alpha=90.00 beta=90.00 gamma=90.00
Positions (direct):
Pt: 0.5000 0.0000 0.5000
Pt: 0.0000 0.6278 0.3283
Ge: 0.0000 0.0000 0.5000
Pt: 0.0000 0.8722 0.8283
Ge: 0.0000 0.5000 0.0000
Pt: 0.5000 0.5000 0.0000
Pm: 0.5000 0.5000 0.5000
Pt: 0.0000 0.1278 0.1717
Pm: 0.5000 0.0000 0.0000
Pt: 0.0000 0.3722 0.6717

Entry 12:
Here is a geometry-optimized Ca2As2Rh structure from the Alexandria database. Energies are from PBE.

Values from the calculation:
For the density of states at the Fermi level, the calculation gives 4.50 states/eV/cell. The calculation puts the formation energy at -941 meV/atom. The space-group type is C2/m, No. 12.

Unit cell a=4.2785 b=5.8878 c=9.5192 alpha=84.36 beta=77.01 gamma=68.69
Positions (direct):
As: 0.1542 0.2694 0.4223
As: 0.8458 0.7306 0.5777
Ca: 0.6703 0.7635 0.8958
As: 0.0242 0.8138 0.1377
Ca: 0.5071 0.6552 0.3306
As: 0.9758 0.1862 0.8623
Rh: 0.7792 0.0546 0.3870
Ca: 0.4929 0.3448 0.6694
Ca: 0.3297 0.2365 0.1042
Rh: 0.2208 0.9454 0.6130

Entry 13:
Here is a geometry-optimized LaAl4Pt2Au structure from the Alexandria database. Energies are from PBE.

Values from the calculation:
For the density of states at the Fermi level, the calculation gives 3.47 states/eV/cell. The calculation puts the formation energy at -772 meV/atom. The space-group type is R-3m, No. 166.

Unit cell a=4.2977 b=4.2977 c=9.7462 alpha=77.26 beta=77.26 gamma=60.00
Positions (direct):
Al: 0.8738 0.8738 0.3785
Al: 0.1262 0.1262 0.6215
Al: 0.4052 0.4052 0.7843
Au: 0.5000 0.5000 0.5000
Pt: 0.7543 0.7543 0.7371
Al: 0.5948 0.5948 0.2157
La: 0.0000 0.0000 0.0000
Pt: 0.2457 0.2457 0.2629

Entry 14:
Here is a geometry-optimized LaCe3Ge3 structure from the Alexandria database. Energies are from PBE.

Values from the calculation:
For the density of states at the Fermi level, the calculation gives 29.05 states/eV/cell. The calculation puts the formation energy at -504 meV/atom. The space-group type is P6_3/m, No. 176.

Unit cell a=5.4591 b=8.9162 c=8.9162 alpha=120.00 beta=90.00 gamma=90.00
Positions (direct):
Ce: 0.7500 0.2618 0.2664
Ce: 0.2500 0.2664 0.0045
Ce: 0.7500 0.7336 0.9955
Ge: 0.2500 0.0533 0.6333
Ce: 0.2500 0.9955 0.2618
La: 0.2500 0.6667 0.3333
Ge: 0.7500 0.9467 0.3667
Ge: 0.7500 0.4200 0.0533
Ce: 0.2500 0.7382 0.7336
Ge: 0.2500 0.3667 0.4200
Ce: 0.7500 0.0045 0.7382
Ge: 0.2500 0.5800 0.9467
Ge: 0.7500 0.6333 0.5800
La: 0.7500 0.3333 0.6667

Entry 15:
Here is a geometry-optimized In structure from the Alexandria database. Energies are from PBE.

Values from the calculation:
For the density of states at the Fermi level, the calculation gives 10.57 states/eV/cell. The calculation puts the formation energy at 66 meV/atom. The space-group type is I4/m, No. 87.

Unit cell a=11.8622 b=11.8622 c=3.1967 alpha=90.00 beta=90.00 gamma=90.00
Positions (direct):
In: 0.6389 0.8967 0.5000
In: 0.3611 0.1033 0.5000
In: 0.6593 0.4015 0.0000
In: 0.3967 0.8611 0.0000
In: 0.8407 0.0985 0.5000
In: 0.5985 0.6593 0.0000
In: 0.6033 0.1389 0.0000
In: 0.0985 0.1593 0.5000
In: 0.4015 0.3407 0.0000
In: 0.8967 0.3611 0.5000
In: 0.9015 0.8407 0.5000
In: 0.1033 0.6389 0.5000
In: 0.1389 0.3967 0.0000
In: 0.1593 0.9015 0.5000
In: 0.3407 0.5985 0.0000
In: 0.8611 0.6033 0.0000

Entry 16:
Here is a geometry-optimized Sc5ZnBi2 structure from the Alexandria database. Energies are from PBE.

Values from the calculation:
For the density of states at the Fermi level, the calculation gives 23.58 states/eV/cell. The calculation puts the formation energy at -35 meV/atom. The space-group type is Cmcm, No. 63.

Unit cell a=5.2753 b=7.5119 c=12.6637 alpha=90.00 beta=90.00 gamma=110.56
Positions (direct):
Sc: 0.6906 0.3811 0.9782
Sc: 0.6906 0.3811 0.5218
Zn: 0.2484 0.4967 0.2500
Sc: 0.9108 0.8215 0.6183
Sc: 0.9108 0.8215 0.8817
Sc: 0.3094 0.6189 0.4782
Bi: 0.1227 0.2453 0.8908
Bi: 0.8773 0.7547 0.1092
Sc: 0.0892 0.1785 0.3817
Sc: 0.3094 0.6189 0.0218
Sc: 0.0892 0.1785 0.1183
Bi: 0.8773 0.7547 0.3908
Sc: 0.3025 0.6051 0.7500
Bi: 0.1227 0.2453 0.6092
Sc: 0.6975 0.3949 0.2500
Zn: 0.7516 0.5033 0.7500

Entry 17:
Here is a geometry-optimized Fe2ReSe structure from the Alexandria database. Energies are from PBE.

Values from the calculation:
As for the electronic total energy: -31.0 eV for the cell shown. For the density of states at the Fermi level, the calculation gives 4.53 states/eV/cell. The space-group type is C2/m, No. 12.

Unit cell a=4.5308 b=4.5308 c=4.4044 alpha=86.27 beta=86.27 gamma=37.70
Positions (direct):
Re: 0.7500 0.7500 0.7500
Se: 0.2500 0.2500 0.2500
Fe: 0.4858 0.4858 0.5223
Fe: 0.0142 0.0142 0.9777

Entry 18:
Here is a geometry-optimized KZnPRh structure from the Alexandria database. Energies are from PBE.

Values from the calculation:
For the density of states at the Fermi level, the calculation gives 1.60 states/eV/cell. The calculation puts the formation energy at -425 meV/atom. The space-group type is P4/nmm, No. 129.

Unit cell a=3.8936 b=3.8936 c=12.6401 alpha=90.00 beta=90.00 gamma=90.00
Positions (direct):
P: 0.2500 0.2500 0.1032
Zn: 0.2500 0.7500 0.5000
Rh: 0.7500 0.2500 0.0000
K: 0.7500 0.7500 0.2534
Zn: 0.7500 0.2500 0.5000
P: 0.7500 0.7500 0.8968
Rh: 0.2500 0.7500 0.0000
K: 0.2500 0.2500 0.7466

Entry 19:
Here is a geometry-optimized RuSO2F structure from the Alexandria database. Energies are from PBE.

Values from the calculation:
As for the electronic total energy: -23.4 eV for the cell shown. For the density of states at the Fermi level, the calculation gives 6.64 states/eV/cell. The space-group type is P4/mmm, No. 123.

Unit cell a=3.5578 b=3.5578 c=5.3042 alpha=90.00 beta=90.00 gamma=90.00
Positions (direct):
Ru: 0.5000 0.5000 0.5000
F: 0.0000 0.0000 0.5000
O: 0.5000 0.0000 0.0000
S: 0.0000 0.0000 0.0000
O: 0.0000 0.5000 0.0000

Entry 20:
Here is a geometry-optimized TiZn3 structure from the Alexandria database. Energies are from PBE.

Values from the calculation:
For the density of states at the Fermi level, the calculation gives 3.96 states/eV/cell. The calculation puts the formation energy at -184 meV/atom. The space-group type is P6_3/mmc, No. 194.

Unit cell a=4.3435 b=5.6305 c=5.6304 alpha=120.00 beta=90.00 gamma=90.00
Positions (direct):
Zn: 0.7500 0.8348 0.6697
Zn: 0.2500 0.1651 0.8348
Zn: 0.2500 0.6697 0.8348
Ti: 0.7500 0.3333 0.6667
Zn: 0.7500 0.3303 0.1652
Zn: 0.7500 0.8349 0.1652
Ti: 0.2500 0.6667 0.3333
Zn: 0.2500 0.1652 0.3303

Entry 21:
Here is a geometry-optimized Tb4MgCo structure from the Alexandria database. Energies are from PBE.

Values from the calculation:
For the density of states at the Fermi level, the calculation gives 15.86 states/eV/cell. The calculation puts the formation energy at -70 meV/atom. The space-group type is C2/c, No. 15.

Unit cell a=6.0551 b=9.2518 c=7.7334 alpha=116.96 beta=99.80 gamma=111.72
Positions (direct):
Tb: 0.2451 0.6313 0.8225
Tb: 0.7784 0.7336 0.6765
Co: 0.2491 0.9991 0.9981
Tb: 0.2216 0.2664 0.3235
Co: 0.7509 0.0009 0.0019
Mg: 0.3706 0.6206 0.2412
Mg: 0.6294 0.3794 0.7588
Tb: 0.7549 0.3687 0.1775
Tb: 0.3982 0.9429 0.6765
Tb: 0.6018 0.0571 0.3235
Tb: 0.0775 0.1913 0.8225
Tb: 0.9225 0.8087 0.1775

Entry 22:
Here is a geometry-optimized CsTlGeCl4 structure from the Alexandria database. Energies are from PBE.

Values from the calculation:
As for the electronic total energy: -23.8 eV for the cell shown. For the density of states at the Fermi level, the calculation gives 0.00 states/eV/cell. The space-group type is I4mm, No. 107.

Unit cell a=5.2926 b=5.2926 c=9.2131 alpha=106.69 beta=106.69 gamma=90.00
Positions (direct):
Cl: 0.9932 0.4932 0.9864
Cl: 0.4932 0.9932 0.9864
Cs: 0.6429 0.6429 0.2858
Ge: 0.9927 0.9927 0.9853
Tl: 0.3549 0.3549 0.7097
Cl: 0.1761 0.1761 0.3522
Cl: 0.8470 0.8470 0.6940